A relaxed structure of TlCN2. Source: Alexandria, functional PBEsol.

Cell lengths 3.8553, 3.8553, 5.4829 Å; angles 69.42, 69.42, 60.00 degrees
Fractional positions:
Tl1 0.5000 0.5000 0.5000
N1 0.9175 0.9175 0.2474
N2 0.0825 0.0825 0.7526
C1 0.0000 0.0000 0.0000

Its space group is R-3m, No. 166. The total magnetization comes out at 0.000 μB/cell. Its density of states at the Fermi level is 0.91 states/eV per cell. The value obtained for the density is 6.3 g cm⁻³. The formation energy (no corrections) is 0.3490 eV per atom.

A relaxed structure of KLi3Ge. Source: Alexandria, functional PBEsol.

Cell lengths 5.0118, 5.0118, 5.0118 Å; angles 90.00, 90.00, 90.00 degrees
Fractional positions:
Li1 0.5000 0.0000 0.0000
Li2 0.0000 0.5000 0.0000
Li3 0.0000 0.0000 0.5000
Ge1 0.0000 0.0000 0.0000
K1 0.5000 0.5000 0.5000

Its space group is Pm-3m, No. 221. The total magnetization comes out at 0.000 μB/cell. Its density of states at the Fermi level is 0.45 states/eV per cell. The value obtained for the density is 1.7 g cm⁻³. The value obtained for the energy of formation is -179 meV/atom.

- Which formula does entry 1 have?
  TlCN2

- density of number 1 (TlCN2)?
  6.3 g cm⁻³